Here is a relaxed structure of CaPb2I from the Alexandria database. Energies are from GGA-PBE. Values from VASP.

```
&SYSTEM
  ibrav = 0, nat = 8, ntyp = 3
/
ATOMIC_SPECIES
Ca 40.08 Ca.upf
Pb 207.20 Pb.upf
I 126.90 I.upf
CELL_PARAMETERS angstrom
-6.4186 3.5138 6.5333
-1.8780 -9.1277 3.0641
-1.8768 -2.5682 6.9019
ATOMIC_POSITIONS crystal
Ca 0.5000 0.5000 0.0000
Ca 0.2500 0.7500 0.5000
Pb 0.3750 0.3954 0.7500
Pb 0.1454 0.6250 0.2500
Pb 0.8750 0.8546 0.7500
Pb 0.6046 0.1250 0.2500
I 0.7500 0.2500 0.5000
I 0.0000 0.0000 0.0000
```

For the relative energy among the computed polymorphs, the calculation gives 0.00 eV per formula unit. As for the total energy: -0.210 Ry per atom. The crystal system is tetragonal. As for the uncorrected formation energy: -117.0 meV per atom. The calculation puts the calculated density at 6.46 g/cm³.

***

Here is a relaxed structure of CaPbI4 from the Alexandria database. Energies are from GGA-PBE. Values from VASP.

```
&SYSTEM
  ibrav = 0, nat = 6, ntyp = 3
/
ATOMIC_SPECIES
I 126.90 I.upf
Ca 40.08 Ca.upf
Pb 207.20 Pb.upf
CELL_PARAMETERS angstrom
7.5732 0.0097 0.0000
-0.0555 7.5730 0.0000
0.0000 0.0000 4.7790
ATOMIC_POSITIONS crystal
I 0.2042 0.7958 0.5000
I 0.6928 0.6928 0.0000
I 0.7958 0.2042 0.5000
I 0.3072 0.3072 0.0000
Ca 0.5000 0.5000 0.5000
Pb 0.0000 0.0000 0.0000
```

As for the total energy: -0.226 Ry per atom. The crystal system is orthorhombic. As for the uncorrected formation energy: -1088.2 meV per atom. The calculation puts the calculated density at 4.57 g/cm³.

***

Here is a relaxed structure of CaPb3I from the Alexandria database. Energies are from GGA-PBE. Values from VASP.

```
&SYSTEM
  ibrav = 0, nat = 5, ntyp = 3
/
ATOMIC_SPECIES
Pb 207.20 Pb.upf
Ca 40.08 Ca.upf
I 126.90 I.upf
CELL_PARAMETERS angstrom
6.0039 0.0000 0.0000
0.0000 6.0039 0.0000
0.0000 0.0000 6.0039
ATOMIC_POSITIONS crystal
Pb 0.5000 0.0000 0.0000
Pb 0.0000 0.5000 0.0000
Pb 0.0000 0.0000 0.5000
Ca 0.5000 0.5000 0.5000
I 0.0000 0.0000 0.0000
```

For the relative energy among the computed polymorphs, the calculation gives 0.00 eV per formula unit. As for the total energy: -0.187 Ry per atom. The crystal system is cubic. As for the uncorrected formation energy: 389.1 meV per atom. The calculation puts the calculated density at 6.05 g/cm³.

***

Here is a relaxed structure of CaPb2I from the Alexandria database. Energies are from GGA-PBE. Values from VASP.

```
&SYSTEM
  ibrav = 0, nat = 4, ntyp = 3
/
ATOMIC_SPECIES
Pb 207.20 Pb.upf
Ca 40.08 Ca.upf
I 126.90 I.upf
CELL_PARAMETERS angstrom
-1.5927 0.3523 5.5190
-3.8990 -3.6698 2.1096
1.6093 -4.0806 3.7254
ATOMIC_POSITIONS crystal
Pb 0.7500 0.7500 0.7500
Pb 0.2500 0.2500 0.2500
Ca 0.0000 0.0000 0.0000
I 0.5000 0.5000 0.5000
```

For the relative energy among the computed polymorphs, the calculation gives 0.31 eV per formula unit. As for the total energy: -0.204 Ry per atom. The crystal system is cubic. As for the uncorrected formation energy: -39.8 meV per atom. The calculation puts the calculated density at 7.16 g/cm³.

***

Here is a relaxed structure of CaPbI4 from the Alexandria database. Energies are from GGA-PBE. Values from VASP.

```
&SYSTEM
  ibrav = 0, nat = 6, ntyp = 3
/
ATOMIC_SPECIES
I 126.90 I.upf
Ca 40.08 Ca.upf
Pb 207.20 Pb.upf
CELL_PARAMETERS angstrom
-0.6200 -4.1349 1.9036
3.4669 2.3591 6.2535
-7.0131 2.4500 3.0376
ATOMIC_POSITIONS crystal
I 0.5000 0.7575 0.8234
I 0.0000 0.2360 0.6571
I 0.0000 0.7640 0.3429
I 0.5000 0.2425 0.1766
Ca 0.5000 0.0000 0.5000
Pb 0.0000 0.0000 0.0000
```

As for the total energy: -0.230 Ry per atom. The crystal system is monoclinic. As for the uncorrected formation energy: -1138.4 meV per atom. The calculation puts the calculated density at 4.52 g/cm³.

***

Here is a relaxed structure of CaPb3I8 from the Alexandria database. Energies are from GGA-PBE. Values from VASP.

```
&SYSTEM
  ibrav = 0, nat = 12, ntyp = 3
/
ATOMIC_SPECIES
I 126.90 I.upf
Pb 207.20 Pb.upf
Ca 40.08 Ca.upf
CELL_PARAMETERS angstrom
9.2868 0.0000 0.0000
-4.6434 6.5983 -4.5922
0.0000 -0.1273 9.3032
ATOMIC_POSITIONS crystal
I 0.2426 0.0001 0.7604
I 0.7574 0.9999 0.2396
I 0.7501 0.5003 0.2476
I 0.2425 0.9999 0.2396
I 0.7576 0.5151 0.7604
I 0.7575 0.0001 0.7604
I 0.2424 0.4849 0.2396
I 0.2499 0.4997 0.7524
Pb 0.5000 0.0000 0.0000
Pb 0.5000 0.5000 0.0000
Pb 0.0000 0.5000 0.0000
Ca 0.0000 0.0000 0.0000
```

As for the total energy: -0.222 Ry per atom. The crystal system is monoclinic. As for the uncorrected formation energy: -894.8 meV per atom. The calculation puts the calculated density at 4.93 g/cm³.

***

Here is a relaxed structure of Ca4PbI5 from the Alexandria database. Energies are from GGA-PBE. Values from VASP.

```
&SYSTEM
  ibrav = 0, nat = 10, ntyp = 3
/
ATOMIC_SPECIES
Ca 40.08 Ca.upf
I 126.90 I.upf
Pb 207.20 Pb.upf
CELL_PARAMETERS angstrom
-3.6465 -0.4639 2.2945
-1.6370 -8.4141 -4.3027
7.2134 -2.2818 6.9105
ATOMIC_POSITIONS crystal
Ca 0.9946 0.7509 0.9893
Ca 0.3372 0.9056 0.6745
Ca 0.0054 0.2491 0.0107
Ca 0.6628 0.0944 0.3255
I 0.1703 0.8505 0.3406
I 0.8311 0.6675 0.6621
I 0.5000 0.5000 0.0000
I 0.1689 0.3325 0.3379
I 0.8297 0.1495 0.6594
Pb 0.5000 0.0000 0.0000
```

As for the total energy: -0.238 Ry per atom. The crystal system is monoclinic. As for the uncorrected formation energy: -1288.5 meV per atom. The calculation puts the calculated density at 4.11 g/cm³.

***

Here is a relaxed structure of CaPbI4 from the Alexandria database. Energies are from GGA-PBE. Values from VASP.

```
&SYSTEM
  ibrav = 0, nat = 24, ntyp = 3
/
ATOMIC_SPECIES
I 126.90 I.upf
Pb 207.20 Pb.upf
Ca 40.08 Ca.upf
CELL_PARAMETERS angstrom
8.4660 0.0000 0.0000
0.0000 9.6774 0.4990
0.0000 1.5709 14.7804
ATOMIC_POSITIONS crystal
I 0.1199 0.8141 0.5690
I 0.8801 0.1859 0.4310
I 0.1457 0.2741 0.0305
I 0.2236 0.0060 0.8055
I 0.9691 0.3746 0.7168
I 0.2764 0.0060 0.3055
I 0.3801 0.8141 0.0690
I 0.6199 0.1859 0.9310
I 0.6457 0.7259 0.4695
I 0.8543 0.7259 0.9695
I 0.4691 0.6254 0.7832
I 0.3543 0.2741 0.5305
I 0.5309 0.3746 0.2168
I 0.7236 0.9940 0.6945
I 0.7764 0.9940 0.1945
I 0.0309 0.6254 0.2832
Pb 0.2094 0.3137 0.3420
Pb 0.7906 0.6863 0.6580
Pb 0.7094 0.6863 0.1580
Pb 0.2906 0.3137 0.8420
Ca 0.5557 0.8812 0.8818
Ca 0.9443 0.8812 0.3818
Ca 0.4443 0.1188 0.1182
Ca 0.0557 0.1188 0.6182
```

As for the total energy: -0.225 Ry per atom. The crystal system is monoclinic. As for the uncorrected formation energy: -1081.8 meV per atom. The calculation puts the calculated density at 4.16 g/cm³.